(1)
# CaScB

A relaxed structure of CaScB (PBE, Alexandria via LeMat-Bulk).

Cell lengths 3.2334, 5.2895, 8.0092 Å; angles 90.02, 101.64, 89.86 degrees
Last column: nearest neighbours and their distance in Å.
Positions (direct):
Sc  0.4641  0.9530  0.3152  3 B 2.37-2.44
Sc  0.2164  0.9531  0.8503  3 B 2.37-2.44
Ca  0.8403  0.4530  0.0827  2 Ca 3.23, 8 Sc 3.58-3.61
Ca  0.3376  0.4531  0.5826  4 B 2.78-2.79
B  0.0682  0.9533  0.5398  2 B 1.75
B  0.6122  0.9529  0.6256  2 B 1.75

Calculated values
The distance to the lowest polymorph of the same formula comes out at 142.2 meV/atom. The total energy comes out at -30.6 eV for the cell shown. Its formation energy from the elements is -0.092 eV/atom.

---

(2)
# BaSr2Zn

A relaxed structure of BaSr2Zn (PBE, Alexandria via LeMat-Bulk).

Cell lengths 4.4358, 7.4106, 11.7880 Å; angles 90.00, 90.00, 107.41 degrees
Last column: nearest neighbours and their distance in Å.
Positions (direct):
Ba  0.4106  0.8221  0.2500  2 Zn 3.41
Ba  0.5894  0.1779  0.7500  2 Zn 3.41
Sr  0.1404  0.2806  0.4304  2 Zn 3.31
Sr  0.8596  0.7194  0.5696  2 Zn 3.31
Sr  0.8596  0.7194  0.9304  2 Zn 3.31
Sr  0.1404  0.2806  0.0696  2 Zn 3.31
Zn  0.7272  0.4552  0.2500  4 Sr 3.31, 2 Ba 3.41
Zn  0.2728  0.5448  0.7500  4 Sr 3.31, 2 Ba 3.41

Calculated values
The total energy comes out at -13.7 eV for the cell shown. Its formation energy from the elements is -0.071 eV/atom.

---

(3)
# LiNbAg2F

A relaxed structure of LiNbAg2F (PBE, Alexandria via LeMat-Bulk).

Cell lengths 5.2478, 3.1179, 5.2478 Å; angles 90.00, 90.00, 90.00 degrees
Last column: nearest neighbours and their distance in Å.
Positions (direct):
Nb  0.5000  0.5000  0.5000  8 Ag 3.05, 2 Nb 3.12
Li  0.0000  0.5000  0.0000  2 F 1.56
Ag  0.0000  0.0000  0.5000  2 F 2.62
Ag  0.5000  0.0000  0.0000  2 F 2.62
F  0.0000  0.0000  0.0000  2 Li 1.56

Calculated values
As for the formation energy (no corrections): -0.21 eV per atom. The total energy comes out at -20.6 eV for the cell shown.

---

(4)
# Sc2ZnAg

A relaxed structure of Sc2ZnAg (PBE, Alexandria via LeMat-Bulk).

Cell lengths 6.4637, 6.4637, 6.4637 Å; angles 53.95, 153.34, 134.01 degrees
Last column: nearest neighbours and their distance in Å.
Positions (direct):
Sc  0.0000  0.2556  0.2556  1 Ag 2.82, 6 Sc 2.93-2.98, 1 Zn 2.94
Sc  0.0000  0.7444  0.7444  1 Ag 2.82, 6 Sc 2.93-2.98, 1 Zn 2.94
Zn  0.0000  0.0000  0.0000  4 Ag 2.93, 2 Sc 2.94, 2 Zn 2.98
Ag  0.0000  0.5000  0.5000  2 Sc 2.82, 4 Zn 2.93, 2 Ag 2.98

Calculated values
The total energy comes out at -15.2 eV for the cell shown. Its formation energy from the elements is 0.404 eV/atom.

---

(5)
# Re2MoRh

A relaxed structure of Re2MoRh (PBE, Alexandria via LeMat-Bulk).

Cell lengths 9.2041, 9.2041, 9.2041 Å; angles 17.30, 17.30, 17.30 degrees
Last column: nearest neighbours and their distance in Å.
Positions (direct):
Mo  0.7518  0.7518  0.7518  3 Rh 2.72, 6 Mo 2.77, 3 Re 2.87
Re  0.9977  0.9977  0.9977  9 Re 2.70-2.77, 3 Mo 2.87
Re  0.2509  0.2509  0.2509  9 Re 2.70-2.77, 3 Rh 2.80
Rh  0.4995  0.4995  0.4995  3 Mo 2.72, 6 Rh 2.77, 3 Re 2.80

Calculated values
The distance to the lowest polymorph of the same formula comes out at 71.0 meV/atom. The total energy comes out at -42.9 eV for the cell shown. Its formation energy from the elements is 0.033 eV/atom.

---

(6)
# LiPmSiNi

A relaxed structure of LiPmSiNi (PBE, Alexandria via LeMat-Bulk).

Cell lengths 4.5003, 4.5003, 4.5003 Å; angles 60.00, 60.00, 60.00 degrees
Last column: nearest neighbours and their distance in Å.
Positions (direct):
Ni  0.5000  0.5000  0.5000  4 Pm 2.76, 4 Si 2.76
Si  0.2500  0.2500  0.2500  4 Ni 2.76, 4 Li 2.76
Li  0.0000  0.0000  0.0000  4 Pm 2.76, 4 Si 2.76
Pm  0.7500  0.7500  0.7500  4 Ni 2.76, 4 Li 2.76

Calculated values
As for the formation energy (no corrections): -0.46 eV per atom. The total energy comes out at -19.7 eV for the cell shown.

---

(7)
# PmY2Zn4

A relaxed structure of PmY2Zn4 (PBE, Alexandria via LeMat-Bulk).

Cell lengths 5.2193, 5.2193, 7.2540 Å; angles 111.08, 111.08, 90.00 degrees
Last column: nearest neighbours and their distance in Å.
Positions (direct):
Pm  0.0000  0.0000  0.0000  8 Zn 2.96
Y  0.7216  0.7216  0.4432  4 Zn 2.94
Y  0.2784  0.2784  0.5568  4 Zn 2.94
Zn  0.3876  0.8876  0.7753  1 Zn 2.81, 2 Y 2.94, 2 Pm 2.96
Zn  0.8876  0.3876  0.7753  1 Zn 2.81, 2 Y 2.94, 2 Pm 2.96
Zn  0.6124  0.1124  0.2247  1 Zn 2.81, 2 Y 2.94, 2 Pm 2.96
Zn  0.1124  0.6124  0.2247  1 Zn 2.81, 2 Y 2.94, 2 Pm 2.96

Calculated values
The total energy comes out at -23.9 eV for the cell shown. Its formation energy from the elements is -0.156 eV/atom.

---

(8)
# MgFe2Cl

A relaxed structure of MgFe2Cl (PBE, Alexandria via LeMat-Bulk).

Cell lengths 2.9146, 4.2788, 5.1770 Å; angles 90.00, 90.00, 90.00 degrees
Last column: nearest neighbours and their distance in Å.
Positions (direct):
Cl  0.5000  0.5000  0.7500  2 Mg 2.59
Fe  0.0000  0.0000  0.0247  1 Fe 2.33
Fe  0.0000  0.0000  0.4753  1 Fe 2.33
Mg  0.5000  0.5000  0.2500  2 Cl 2.59, 8 Fe 2.84

Calculated values
As for the formation energy (no corrections): 0.41 eV per atom. The distance to the lowest polymorph of the same formula comes out at 484.3 meV/atom. The total energy comes out at -18.7 eV for the cell shown.